The following is a meta-GGA SCAN calculation of TlAgBr2 at its PBEsol-relaxed geometry, from Alexandria via LeMat-Bulk.

Output
Formation energy (no corrections)   -559 meV/atom

Cell: 4.1574 5.6478 5.6478 Å, 66.21 68.40 68.40°
Fractional coordinates of all 4 atoms:
1 Tl 0.5000 0.0000 0.0000
2 Ag 0.0000 0.5000 0.5000
3 Br 0.2946 0.7054 0.7054
4 Br 0.7054 0.2946 0.2946

The following is a meta-GGA SCAN calculation of TlAgBr2 at its PBEsol-relaxed geometry, from Alexandria via LeMat-Bulk.

Output
Formation energy (no corrections)   -617 meV/atom

Cell: 4.1658 4.1658 7.7496 Å, 74.40 74.40 60.01°
Fractional coordinates of all 4 atoms:
1 Tl 0.5005 0.5005 0.4985
2 Br 0.9317 0.9317 0.2050
3 Br 0.7344 0.7344 0.7970
4 Ag 0.3335 0.3335 0.9996

The following is a meta-GGA SCAN calculation of TlAg2Br at its PBEsol-relaxed geometry, from Alexandria via LeMat-Bulk.

Output
Energy relative to the lowest polymorph listed for this composition   0.0009 eV per atom
Formation energy (no corrections)   53 meV/atom

Cell: 3.5422 5.0945 5.8684 Å, 115.77 107.63 89.87°
Fractional coordinates of all 4 atoms:
1 Tl 0.0000 0.0000 0.0000
2 Br 0.5000 0.5000 0.0000
3 Ag 0.0000 0.0000 0.5000
4 Ag 0.5000 0.5000 0.5000

The following is a meta-GGA SCAN calculation of TlAgBr2 at its PBEsol-relaxed geometry, from Alexandria via LeMat-Bulk.

Output
Formation energy (no corrections)   -623 meV/atom

Cell: 4.2139 4.2139 7.6137 Å, 73.93 73.93 60.00°
Fractional coordinates of all 4 atoms:
1 Tl 0.5000 0.5000 0.5000
2 Ag 0.0000 0.0000 0.0000
3 Br 0.2652 0.2652 0.2045
4 Br 0.7348 0.7348 0.7955

The following is a meta-GGA SCAN calculation of Tl2AgBr at its PBEsol-relaxed geometry, from Alexandria via LeMat-Bulk.

Output
Energy relative to the lowest polymorph listed for this composition   0.0107 eV per atom
Formation energy (no corrections)   -126 meV/atom

Cell: 5.3041 5.3041 5.3041 Å, 60.00 60.00 60.00°
Fractional coordinates of all 4 atoms:
1 Tl 0.2500 0.2500 0.2500
2 Tl 0.7500 0.7500 0.7500
3 Br 0.5000 0.5000 0.5000
4 Ag 0.0000 0.0000 0.0000

The following is a meta-GGA SCAN calculation of YAgBr2 at its PBEsol-relaxed geometry, from Alexandria via LeMat-Bulk.

Output
Energy relative to the lowest polymorph listed for this composition   0.0000 eV per atom
Formation energy (no corrections)   -1008 meV/atom

Cell: 3.6250 3.6250 7.7051 Å, 90.00 90.00 90.00°
Fractional coordinates of all 4 atoms:
1 Y 0.0000 0.0000 0.5394
2 Br 0.0000 0.0000 0.9141
3 Br 0.5000 0.5000 0.2991
4 Ag 0.5000 0.5000 0.7475